# 1
DFT (PBE-GGA) results for a relaxed structure of Ac7La12Tl.

Output
E_tot: -4.388 eV/atom

a = 13.0851 Å, b = 13.0851 Å, c = 16.2552 Å
α = 90.00°, β = 90.00°, γ = 120.00°
Space group R-3 (No. 148, hexagonal axes)
Inequivalent atoms, fractional coordinates:
Ac: 0.0000 0.0000 0.0000 x3
Ac: 0.0108 0.5787 0.6997 x18
La: 0.0335 0.8481 0.8091 x18
La: 0.0740 0.2555 0.4221 x18
Tl: 0.0000 0.0000 0.5000 x3



# 2
DFT (PBE-GGA) results for a relaxed structure of NdY2HfP4.

Output
E_tot: -7.652 eV/atom

a = 6.8558 Å, b = 3.9599 Å, c = 6.8763 Å
α = 90.00°, β = 109.21°, γ = 90.00°
Space group P2/m (No. 10)
Inequivalent atoms, fractional coordinates:
Nd: 0.0000 0.0000 0.0000 x1
Y: 0.5000 0.0000 0.5000 x1
Y: 0.5000 0.5000 0.0000 x1
Hf: 0.0000 0.5000 0.5000 x1
P: 0.2383 0.0000 0.7321 x2
P: 0.2481 0.5000 0.2646 x2



# 3
DFT (PBE-GGA) results for a relaxed structure of Cd2PbBr.

Output
polymorph energy (0 for the lowest one): 119 meV per atom
formation energy without anion corrections: -61 meV per atom

a = 6.9657 Å, b = 6.9657 Å, c = 12.8177 Å
α = 90.00°, β = 90.00°, γ = 90.00°
Space group I-42d (No. 122)
Inequivalent atoms, fractional coordinates:
Cd: 0.2445 0.2500 0.1250 x8
Pb: 0.0000 0.0000 0.0000 x4
Br: 0.0000 0.0000 0.5000 x4



# 4
DFT (PBE-GGA) results for a relaxed structure of TaV2HPd.

Output
polymorph energy (0 for the lowest one): 0 meV per atom

a = 3.8603 Å, b = 3.8603 Å, c = 4.2021 Å
α = 90.00°, β = 90.00°, γ = 90.00°
Space group P4/mmm (No. 123)
Inequivalent atoms, fractional coordinates:
Ta: 0.0000 0.0000 0.0000 x1
V: 0.0000 0.5000 0.5000 x2
H: 0.0000 0.0000 0.5000 x1
Pd: 0.5000 0.5000 0.0000 x1



Volume (A^3/atom)
40.2; 22.0; 38.9; 12.5